(1)
The following is a PBEsol calculation of an optimized crystal structure of TeRuRh, from Alexandria via LeMat-Bulk.

Results
Symmetry: P3m1
Crystal system: trigonal
Calculated volume, Å³/cell: 49.2
Uncorrected formation energy, eV/atom: 0.42
Distance to the lowest polymorph of the same formula, meV/atom: 184

abc: 3.067 3.067 6.040
angles: 90.00 90.00 120.00
Element x y z (fractional)
Te (0.000, 0.000, 0.000)
Ru (0.333, 0.667, 0.324)
Rh (0.667, 0.333, 0.668)



(2)
The following is a PBEsol calculation of an optimized crystal structure of TeRuRh, from Alexandria via LeMat-Bulk.

Results
Symmetry: P3m1
Crystal system: trigonal
Calculated volume, Å³/cell: 49.1
Uncorrected formation energy, eV/atom: 0.23
Distance to the lowest polymorph of the same formula, meV/atom: 0

abc: 4.230 4.230 3.167
angles: 90.00 90.00 120.00
Element x y z (fractional)
Te (0.000, 0.000, 0.000)
Ru (0.667, 0.333, 0.757)
Rh (0.333, 0.667, 0.280)



(3)
The following is a PBEsol calculation of an optimized crystal structure of TiRuRh3, from Alexandria via LeMat-Bulk.

Results
Symmetry: Pm-3m
Crystal system: cubic
Calculated volume, Å³/cell: 84.9
Energy of formation from the pure elements, kcal/mol of atoms: 25.81

abc: 4.394 4.394 4.394
angles: 90.00 90.00 90.00
Element x y z (fractional)
Ti (0.000, 0.000, 0.000)
Ru (0.500, 0.500, 0.500)
Rh (0.000, 0.000, 0.500)
Rh (0.000, 0.500, 0.000)
Rh (0.500, 0.000, 0.000)



(4)
The following is a PBEsol calculation of an optimized crystal structure of TiZn2RuRh, from Alexandria via LeMat-Bulk.

Results
Symmetry: P4/mmm
Crystal system: tetragonal
Calculated volume, Å³/cell: 90.3
Energy of formation from the pure elements, kcal/mol of atoms: 19.53

abc: 4.526 4.526 4.410
angles: 90.00 90.00 90.00
Element x y z (fractional)
Ti (0.000, 0.000, 0.000)
Zn (0.000, 0.500, 0.500)
Zn (0.500, 0.000, 0.500)
Ru (0.500, 0.500, 0.000)
Rh (0.000, 0.000, 0.500)



(5)
The following is a PBEsol calculation of an optimized crystal structure of TlRu2Rh, from Alexandria via LeMat-Bulk.

Results
Symmetry: Cmmm
Crystal system: orthorhombic
Calculated volume, Å³/cell: 60.9
Energy of formation from the pure elements, kcal/mol of atoms: 13.40

abc: 4.845 4.845 2.810
angles: 90.00 90.00 112.64
Element x y z (fractional)
Tl (0.000, 0.000, 0.000)
Ru (0.000, 0.500, 0.500)
Ru (0.500, 0.000, 0.500)
Rh (0.500, 0.500, 0.000)



(6)
The following is a PBEsol calculation of an optimized crystal structure of Tl2RuRh, from Alexandria via LeMat-Bulk.

Results
Symmetry: Amm2
Crystal system: orthorhombic
Calculated volume, Å³/cell: 72.1
Energy of formation from the pure elements, kcal/mol of atoms: 9.89
Distance to the lowest polymorph of the same formula, meV/atom: 0

abc: 4.366 5.313 5.313
angles: 35.82 90.00 90.00
Element x y z (fractional)
Tl (0.000, 0.000, 0.000)
Tl (0.500, 0.283, 0.283)
Ru (0.000, 0.728, 0.728)
Rh (0.500, 0.557, 0.557)



(7)
The following is a PBEsol calculation of an optimized crystal structure of Tl2RuRh, from Alexandria via LeMat-Bulk.

Results
Symmetry: R-3m
Crystal system: trigonal
Calculated volume, Å³/cell: 71.2
Energy of formation from the pure elements, kcal/mol of atoms: 10.56
Distance to the lowest polymorph of the same formula, meV/atom: 29

abc: 8.547 8.547 8.547
angles: 21.15 21.15 21.15
Element x y z (fractional)
Tl (0.249, 0.249, 0.249)
Tl (0.751, 0.751, 0.751)
Ru (0.000, 0.000, 0.000)
Rh (0.500, 0.500, 0.500)



(8)
The following is a PBEsol calculation of an optimized crystal structure of YRuRh, from Alexandria via LeMat-Bulk.

Results
Symmetry: F-43m
Crystal system: cubic
Calculated volume, Å³/cell: 58.6
Energy of formation from the pure elements, kcal/mol of atoms: 16.80
Distance to the lowest polymorph of the same formula, meV/atom: 712

abc: 4.360 4.360 4.360
angles: 60.00 60.00 60.00
Element x y z (fractional)
Y (0.000, 0.000, 0.000)
Ru (0.750, 0.750, 0.750)
Rh (0.250, 0.250, 0.250)